Computed, not measured: Al2Zn3 after structural relaxation at the PBE-GGA level of DFT.

Output
Excess energy over the best structure of this formula in the dataset (meV/atom): 42

```
data_Al2Zn3
_chemical_formula_sum 'Al12 Zn18'
_cell_length_a 5.1569
_cell_length_b 5.1569
_cell_length_c 21.6029
_cell_angle_alpha 90.00
_cell_angle_beta 90.00
_cell_angle_gamma 120.00
_space_group_name_H-M_alt 'R -3 c'
_space_group_IT_number 167
_space_group_name_Hall '-R 3 2"c'
loop_
_atom_site_label
_atom_site_fract_x
_atom_site_fract_y
_atom_site_fract_z
Al1 0.0000 0.0000 0.1883
Zn1 0.0000 0.4875 0.2500
```